# Hf2MgS6 (GGA-PBE, relaxed)
data_Hf2MgS6
_chemical_formula_sum 'Hf4 Mg2 S12'
_cell_length_a 6.040
_cell_length_b 6.040
_cell_length_c 11.222
_cell_angle_alpha 90.00
_cell_angle_beta 90.00
_cell_angle_gamma 90.00
_space_group_name_H-M_alt 'P 42/m n m'
_space_group_IT_number 136
_space_group_name_Hall '-P 4n 2n'
loop_
_atom_site_label
_atom_site_type_symbol
_atom_site_fract_x
_atom_site_fract_y
_atom_site_fract_z
Hf1 Hf 0.000 0.000 0.163
Mg1 Mg 0.000 0.000 0.500
S1 S 0.199 0.199 0.000
S2 S 0.203 0.203 0.328
# Formation energy (no corrections)   -1.09 eV per atom



# HfMgS (GGA-PBE, relaxed)
data_HfMgS
_chemical_formula_sum 'Hf4 Mg4 S4'
_cell_length_a 3.3931
_cell_length_b 3.3931
_cell_length_c 23.4939
_cell_angle_alpha 90.00
_cell_angle_beta 90.00
_cell_angle_gamma 120.00
_space_group_name_H-M_alt 'P -3 m 1'
_space_group_IT_number 164
_space_group_name_Hall '-P 3 2"'
loop_
_atom_site_label
_atom_site_type_symbol
_atom_site_fract_x
_atom_site_fract_y
_atom_site_fract_z
Hf1 Hf 0.3333 0.6667 0.2987
Hf2 Hf 0.3333 0.6667 0.4462
Mg1 Mg 0.3333 0.6667 0.8096
Mg2 Mg 0.3333 0.6667 0.9463
S1 S 0.3333 0.6667 0.1226
S2 S 0.3333 0.6667 0.6291
# Formation energy (no corrections)   -0.80 eV per atom



# HfMg3S (GGA-PBE, relaxed)
data_HfMg3S
_chemical_formula_sum 'Hf1 Mg3 S1'
_cell_length_a 4.868
_cell_length_b 4.868
_cell_length_c 4.868
_cell_angle_alpha 90.00
_cell_angle_beta 90.00
_cell_angle_gamma 90.00
_space_group_name_H-M_alt 'P m -3 m'
_space_group_IT_number 221
_space_group_name_Hall '-P 4 2 3'
loop_
_atom_site_label
_atom_site_type_symbol
_atom_site_fract_x
_atom_site_fract_y
_atom_site_fract_z
Hf1 Hf 0.000 0.000 0.000
Mg1 Mg 0.000 0.500 0.500
S1 S 0.500 0.500 0.500
# Formation energy (no corrections)   0.23 eV per atom



# HfMgScS4 (GGA-PBE, relaxed)
data_HfMgScS4
_chemical_formula_sum 'Hf4 Mg4 Sc4 S16'
_cell_length_a 7.436
_cell_length_b 7.623
_cell_length_c 10.672
_cell_angle_alpha 90.00
_cell_angle_beta 90.00
_cell_angle_gamma 90.00
_space_group_name_H-M_alt 'I m m a'
_space_group_IT_number 74
_space_group_name_Hall '-I 2b 2'
loop_
_atom_site_label
_atom_site_type_symbol
_atom_site_fract_x
_atom_site_fract_y
_atom_site_fract_z
Hf1 Hf 0.250 0.250 0.250
Mg1 Mg 0.000 0.250 0.624
Sc1 Sc 0.000 0.000 0.000
S1 S 0.000 0.015 0.245
S2 S 0.237 0.250 0.010
# Formation energy (no corrections)   -1.62 eV per atom



# HfMg14Sb (GGA-PBE, relaxed)
data_HfMg14Sb
_chemical_formula_sum 'Hf2 Mg28 Sb2'
_cell_length_a 10.457
_cell_length_b 6.219
_cell_length_c 11.138
_cell_angle_alpha 90.00
_cell_angle_beta 90.00
_cell_angle_gamma 90.00
_space_group_name_H-M_alt 'A m m 2'
_space_group_IT_number 38
_space_group_name_Hall 'A 2 -2'
loop_
_atom_site_label
_atom_site_type_symbol
_atom_site_fract_x
_atom_site_fract_y
_atom_site_fract_z
Hf1 Hf 0.000 0.000 0.000
Mg1 Mg 0.000 0.248 0.250
Mg2 Mg 0.249 0.000 0.161
Mg3 Mg 0.250 0.245 0.914
Mg4 Mg 0.252 0.000 0.666
Mg5 Mg 0.500 0.000 0.001
Mg6 Mg 0.500 0.000 0.501
Mg7 Mg 0.500 0.250 0.251
Sb1 Sb 0.000 0.000 0.502
# Formation energy (no corrections)   -0.01 eV per atom



# HfMg14Sb (GGA-PBE, relaxed)
data_HfMg14Sb
_chemical_formula_sum 'Hf1 Mg14 Sb1'
_cell_length_a 6.4004
_cell_length_b 6.4004
_cell_length_c 10.2656
_cell_angle_alpha 90.00
_cell_angle_beta 90.00
_cell_angle_gamma 120.00
_space_group_name_H-M_alt 'P -6 m 2'
_space_group_IT_number 187
_space_group_name_Hall 'P -6 2'
loop_
_atom_site_label
_atom_site_type_symbol
_atom_site_fract_x
_atom_site_fract_y
_atom_site_fract_z
Hf1 Hf 0.0000 0.0000 0.0000
Mg1 Mg 0.0067 0.5033 0.0000
Mg2 Mg 0.1627 0.3254 0.2469
Mg3 Mg 0.5015 0.0031 0.5000
Mg4 Mg 0.6667 0.3333 0.2446
Sb1 Sb 0.0000 0.0000 0.5000
# Formation energy (no corrections)   0.00 eV per atom



# HfMgSb2 (GGA-PBE, relaxed)
data_HfMgSb2
_chemical_formula_sum 'Hf3 Mg3 Sb6'
_cell_length_a 3.2803
_cell_length_b 3.2803
_cell_length_c 33.3782
_cell_angle_alpha 90.00
_cell_angle_beta 90.00
_cell_angle_gamma 120.00
_space_group_name_H-M_alt 'R -3 m'
_space_group_IT_number 166
_space_group_name_Hall '-R 3 2"'
loop_
_atom_site_label
_atom_site_type_symbol
_atom_site_fract_x
_atom_site_fract_y
_atom_site_fract_z
Hf1 Hf 0.0000 0.0000 0.0000
Mg1 Mg 0.0000 0.0000 0.5000
Sb1 Sb 0.0000 0.0000 0.4048
# Formation energy (no corrections)   -0.12 eV per atom



# HfMgSb2 (GGA-PBE, relaxed)
data_HfMgSb2
_chemical_formula_sum 'Hf3 Mg3 Sb6'
_cell_length_a 4.1786
_cell_length_b 4.1786
_cell_length_c 20.7979
_cell_angle_alpha 90.00
_cell_angle_beta 90.00
_cell_angle_gamma 120.00
_space_group_name_H-M_alt 'R 3 m'
_space_group_IT_number 160
_space_group_name_Hall 'R 3 -2"'
loop_
_atom_site_label
_atom_site_type_symbol
_atom_site_fract_x
_atom_site_fract_y
_atom_site_fract_z
Hf1 Hf 0.0000 0.0000 0.0000
Mg1 Mg 0.0000 0.0000 0.1667
Sb1 Sb 0.0000 0.0000 0.4125
Sb2 Sb 0.0000 0.0000 0.5868
# Formation energy (no corrections)   -0.30 eV per atom



# HfMgSb (GGA-PBE, relaxed)
data_HfMgSb
_chemical_formula_sum 'Hf1 Mg1 Sb1'
_cell_length_a 4.9808
_cell_length_b 4.9808
_cell_length_c 3.1505
_cell_angle_alpha 90.00
_cell_angle_beta 90.00
_cell_angle_gamma 120.00
_space_group_name_H-M_alt 'P 3 m 1'
_space_group_IT_number 156
_space_group_name_Hall 'P 3 -2"'
loop_
_atom_site_label
_atom_site_type_symbol
_atom_site_fract_x
_atom_site_fract_y
_atom_site_fract_z
Hf1 Hf 0.0000 0.0000 0.0000
Mg1 Mg 0.3333 0.6667 0.5296
Sb1 Sb 0.6667 0.3333 0.3022
# Formation energy (no corrections)   0.04 eV per atom



# HfMg2Sb (GGA-PBE, relaxed)
data_HfMg2Sb
_chemical_formula_sum 'Hf4 Mg8 Sb4'
_cell_length_a 8.287
_cell_length_b 8.287
_cell_length_c 5.721
_cell_angle_alpha 90.00
_cell_angle_beta 90.00
_cell_angle_gamma 90.00
_space_group_name_H-M_alt 'I -4 2 d'
_space_group_IT_number 122
_space_group_name_Hall 'I -4 2bw'
loop_
_atom_site_label
_atom_site_type_symbol
_atom_site_fract_x
_atom_site_fract_y
_atom_site_fract_z
Hf1 Hf 0.000 0.000 0.000
Mg1 Mg 0.223 0.250 0.625
Sb1 Sb 0.000 0.000 0.500
# Formation energy (no corrections)   0.17 eV per atom



# HfMgSb2 (GGA-PBE, relaxed)
data_HfMgSb2
_chemical_formula_sum 'Hf1 Mg1 Sb2'
_cell_length_a 3.818
_cell_length_b 3.818
_cell_length_c 6.356
_cell_angle_alpha 90.00
_cell_angle_beta 90.00
_cell_angle_gamma 90.00
_space_group_name_H-M_alt 'P 4/m m m'
_space_group_IT_number 123
_space_group_name_Hall '-P 4 2'
loop_
_atom_site_label
_atom_site_type_symbol
_atom_site_fract_x
_atom_site_fract_y
_atom_site_fract_z
Hf1 Hf 0.000 0.000 0.000
Mg1 Mg 0.000 0.000 0.500
Sb1 Sb 0.500 0.500 0.236
# Formation energy (no corrections)   -0.30 eV per atom



# HfMgSb2 (GGA-PBE, relaxed)
data_HfMgSb2
_chemical_formula_sum 'Hf4 Mg4 Sb8'
_cell_length_a 6.597
_cell_length_b 6.597
_cell_length_c 12.967
_cell_angle_alpha 90.00
_cell_angle_beta 90.00
_cell_angle_gamma 90.00
_space_group_name_H-M_alt 'I -4 2 d'
_space_group_IT_number 122
_space_group_name_Hall 'I -4 2bw'
loop_
_atom_site_label
_atom_site_type_symbol
_atom_site_fract_x
_atom_site_fract_y
_atom_site_fract_z
Hf1 Hf 0.000 0.000 0.000
Mg1 Mg 0.000 0.000 0.500
Sb1 Sb 0.240 0.250 0.125
# Formation energy (no corrections)   -0.08 eV per atom



# HfMgSb (GGA-PBE, relaxed)
data_HfMgSb
_chemical_formula_sum 'Hf2 Mg2 Sb2'
_cell_length_a 4.328
_cell_length_b 4.328
_cell_length_c 7.396
_cell_angle_alpha 90.00
_cell_angle_beta 90.00
_cell_angle_gamma 90.00
_space_group_name_H-M_alt 'P 4/n m m'
_space_group_IT_number 129
loop_
_space_group_symop_operation_xyz
'x,y,z'
'-x,-y,-z'
'-y+1/2,x,z'
'y+1/2,-x,-z'
'-x+1/2,-y+1/2,z'
'x+1/2,y+1/2,-z'
'y,-x+1/2,z'
'-y,x+1/2,-z'
'x+1/2,-y,-z'
'-x+1/2,y,z'
'-y,-x,-z'
'y,x,z'
'-x,y+1/2,-z'
'x,-y+1/2,z'
'y+1/2,x+1/2,-z'
'-y+1/2,-x+1/2,z'
loop_
_atom_site_label
_atom_site_type_symbol
_atom_site_fract_x
_atom_site_fract_y
_atom_site_fract_z
Hf1 Hf 0.250 0.750 0.000
Mg1 Mg 0.250 0.250 0.319
Sb1 Sb 0.250 0.250 0.711
# Formation energy (no corrections)   -0.44 eV per atom



# HfMgSb2Te (GGA-PBE, relaxed)
data_HfMgSb2Te
_chemical_formula_sum 'Hf1 Mg1 Sb2 Te1'
_cell_length_a 5.207
_cell_length_b 5.207
_cell_length_c 5.404
_cell_angle_alpha 90.00
_cell_angle_beta 90.00
_cell_angle_gamma 90.00
_space_group_name_H-M_alt 'P 4/m m m'
_space_group_IT_number 123
_space_group_name_Hall '-P 4 2'
loop_
_atom_site_label
_atom_site_type_symbol
_atom_site_fract_x
_atom_site_fract_y
_atom_site_fract_z
Hf1 Hf 0.000 0.000 0.000
Mg1 Mg 0.500 0.500 0.500
Sb1 Sb 0.000 0.500 0.500
Te1 Te 0.500 0.500 0.000
# Formation energy (no corrections)   0.72 eV per atom



# HfMgSb2Te (GGA-PBE, relaxed)
data_HfMgSb2Te
_chemical_formula_sum 'Hf1 Mg1 Sb2 Te1'
_cell_length_a 5.551
_cell_length_b 5.551
_cell_length_c 5.507
_cell_angle_alpha 90.00
_cell_angle_beta 90.00
_cell_angle_gamma 90.00
_space_group_name_H-M_alt 'P 4/m m m'
_space_group_IT_number 123
_space_group_name_Hall '-P 4 2'
loop_
_atom_site_label
_atom_site_type_symbol
_atom_site_fract_x
_atom_site_fract_y
_atom_site_fract_z
Hf1 Hf 0.000 0.000 0.000
Mg1 Mg 0.500 0.500 0.500
Sb1 Sb 0.000 0.500 0.000
Te1 Te 0.000 0.000 0.500
# Formation energy (no corrections)   0.15 eV per atom



# HfMgSc2 (GGA-PBE, relaxed)
data_HfMgSc2
_chemical_formula_sum 'Hf3 Mg3 Sc6'
_cell_length_a 3.2170
_cell_length_b 3.2170
_cell_length_c 31.5150
_cell_angle_alpha 90.00
_cell_angle_beta 90.00
_cell_angle_gamma 120.00
_space_group_name_H-M_alt 'R -3 m'
_space_group_IT_number 166
_space_group_name_Hall '-R 3 2"'
loop_
_atom_site_label
_atom_site_type_symbol
_atom_site_fract_x
_atom_site_fract_y
_atom_site_fract_z
Hf1 Hf 0.0000 0.0000 0.0000
Mg1 Mg 0.0000 0.0000 0.5000
Sc1 Sc 0.0000 0.0000 0.2530
# E_form   0.0052 eV/atom



# HfMgSc6 (GGA-PBE, relaxed)
data_HfMgSc6
_chemical_formula_sum 'Hf1 Mg1 Sc6'
_cell_length_a 4.572
_cell_length_b 4.572
_cell_length_c 9.139
_cell_angle_alpha 90.00
_cell_angle_beta 90.00
_cell_angle_gamma 90.00
_space_group_name_H-M_alt 'P 4/m m m'
_space_group_IT_number 123
_space_group_name_Hall '-P 4 2'
loop_
_atom_site_label
_atom_site_type_symbol
_atom_site_fract_x
_atom_site_fract_y
_atom_site_fract_z
Hf1 Hf 0.000 0.000 0.000
Mg1 Mg 0.000 0.000 0.500
Sc1 Sc 0.000 0.500 0.241
Sc2 Sc 0.500 0.500 0.000
Sc3 Sc 0.500 0.500 0.500
# E_form   0.0325 eV/atom



# Hf3MgSc (GGA-PBE, relaxed)
data_Hf3MgSc
_chemical_formula_sum 'Hf24 Mg8 Sc8'
_cell_length_a 13.797
_cell_length_b 11.631
_cell_length_c 5.800
_cell_angle_alpha 90.00
_cell_angle_beta 104.33
_cell_angle_gamma 90.00
_space_group_name_H-M_alt 'C 1 2/c 1'
_space_group_IT_number 15
_space_group_name_Hall '-C 2yc'
loop_
_atom_site_label
_atom_site_type_symbol
_atom_site_fract_x
_atom_site_fract_y
_atom_site_fract_z
Hf1 Hf 0.100 0.188 0.460
Hf2 Hf 0.194 0.313 0.145
Hf3 Hf 0.205 0.422 0.647
Mg1 Mg 0.000 0.331 0.750
Mg2 Mg 0.000 0.422 0.250
Sc1 Sc 0.101 0.075 0.965
# E_form   0.1020 eV/atom



# Hf12MgSc6 (GGA-PBE, relaxed)
data_Hf12MgSc6
_chemical_formula_sum 'Hf12 Mg1 Sc6'
_cell_length_a 7.761
_cell_length_b 8.195
_cell_length_c 8.758
_cell_angle_alpha 100.44
_cell_angle_beta 108.17
_cell_angle_gamma 116.37
_space_group_name_H-M_alt 'P -1'
_space_group_IT_number 2
_space_group_name_Hall '-P 1'
loop_
_atom_site_label
_atom_site_type_symbol
_atom_site_fract_x
_atom_site_fract_y
_atom_site_fract_z
Hf1 Hf 0.031 0.422 0.214
Hf2 Hf 0.158 0.432 0.592
Hf3 Hf 0.228 0.831 0.177
Hf4 Hf 0.257 0.424 0.965
Hf5 Hf 0.323 0.835 0.544
Hf6 Hf 0.464 0.268 0.676
Mg1 Mg 0.000 0.000 0.000
Sc1 Sc 0.025 0.997 0.672
Sc2 Sc 0.375 0.322 0.326
Sc3 Sc 0.496 0.817 0.950
# E_form   0.1377 eV/atom



# HfMgSc (GGA-PBE, relaxed)
data_HfMgSc
_chemical_formula_sum 'Hf1 Mg1 Sc1'
_cell_length_a 3.1871
_cell_length_b 3.1871
_cell_length_c 7.9110
_cell_angle_alpha 90.00
_cell_angle_beta 90.00
_cell_angle_gamma 120.00
_space_group_name_H-M_alt 'P 3 m 1'
_space_group_IT_number 156
_space_group_name_Hall 'P 3 -2"'
loop_
_atom_site_label
_atom_site_type_symbol
_atom_site_fract_x
_atom_site_fract_y
_atom_site_fract_z
Hf1 Hf 0.0000 0.0000 0.0000
Mg1 Mg 0.3333 0.6667 0.6621
Sc1 Sc 0.6667 0.3333 0.3141
# E_form   0.0259 eV/atom



# HfMg2Sc5 (GGA-PBE, relaxed)
data_HfMg2Sc5
_chemical_formula_sum 'Hf2 Mg4 Sc10'
_cell_length_a 4.610
_cell_length_b 4.610
_cell_length_c 17.809
_cell_angle_alpha 90.00
_cell_angle_beta 90.00
_cell_angle_gamma 90.00
_space_group_name_H-M_alt 'I 4/m m m'
_space_group_IT_number 139
_space_group_name_Hall '-I 4 2'
loop_
_atom_site_label
_atom_site_type_symbol
_atom_site_fract_x
_atom_site_fract_y
_atom_site_fract_z
Hf1 Hf 0.000 0.000 0.000
Mg1 Mg 0.000 0.000 0.250
Sc1 Sc 0.000 0.000 0.500
Sc2 Sc 0.000 0.500 0.122
# E_form   -0.0271 eV/atom



# HfMg2Sc4 (GGA-PBE, relaxed)
data_HfMg2Sc4
_chemical_formula_sum 'Hf2 Mg4 Sc8'
_cell_length_a 3.213
_cell_length_b 32.901
_cell_length_c 3.178
_cell_angle_alpha 90.00
_cell_angle_beta 90.00
_cell_angle_gamma 90.00
_space_group_name_H-M_alt 'C m m m'
_space_group_IT_number 65
_space_group_name_Hall '-C 2 2'
loop_
_atom_site_label
_atom_site_type_symbol
_atom_site_fract_x
_atom_site_fract_y
_atom_site_fract_z
Hf1 Hf 0.000 0.000 0.000
Mg1 Mg 0.000 0.290 0.500
Sc1 Sc 0.000 0.141 0.000
Sc2 Sc 0.000 0.432 0.500
# E_form   0.0512 eV/atom



# HfMgSc (GGA-PBE, relaxed)
data_HfMgSc
_chemical_formula_sum 'Hf2 Mg2 Sc2'
_cell_length_a 3.101
_cell_length_b 3.137
_cell_length_c 14.899
_cell_angle_alpha 90.00
_cell_angle_beta 90.00
_cell_angle_gamma 90.00
_space_group_name_H-M_alt 'P m m n'
_space_group_IT_number 59
loop_
_space_group_symop_operation_xyz
'x,y,z'
'-x,-y,-z'
'-x+1/2,-y+1/2,z'
'x+1/2,y+1/2,-z'
'x+1/2,-y,-z'
'-x+1/2,y,z'
'-x,y+1/2,-z'
'x,-y+1/2,z'
loop_
_atom_site_label
_atom_site_type_symbol
_atom_site_fract_x
_atom_site_fract_y
_atom_site_fract_z
Hf1 Hf 0.250 0.250 0.077
Mg1 Mg 0.250 0.750 0.581
Sc1 Sc 0.250 0.250 0.773
# E_form   0.0981 eV/atom



no.,M_tot (μB per formula unit)
1,0.0
2,0.0
3,1.0
4,0.0
5,0.0
6,0.0
7,0.0
8,0.0
9,0.0
10,0.0
11,0.0
12,0.0
13,0.0
14,0.0
15,0.0
16,0.0
17,0.0
18,0.0
19,0.0
20,0.0
21,0.0
22,0.0
23,0.0